Entry from Alexandria: crystalline CoCuGePt at its relaxed geometry (PBE).

* density of states at the Fermi level: 2.4 states/eV per cell
* total moment: 0.99 μB/f.u.
* formation energy: -128 meV per atom
* mass density: 12.2 g/cm³
* E_tot: -5.593 eV per atom

Unit cell a=4.218 b=4.218 c=4.218 alpha=60.00 beta=60.00 gamma=60.00
Sites, in units of the cell vectors:
Co  0.000  0.000  0.000
Cu  0.250  0.250  0.250
Ge  0.750  0.750  0.750
Pt  0.500  0.500  0.500